Record 1
# Cs3Sm2ErTe6

An optimized crystal structure of Cs3Sm2ErTe6 (GGA-PBE, the Alexandria database).

Output
Raw formation energy in eV per formula unit: -16.72
Crystal system: monoclinic

a b c (Å): 7.961 7.961 9.318
angles (deg): 98.19 98.19 120.00
Positions (direct):
Cs  0.831  0.169  0.500
Te  0.737  0.737  0.192
Te  0.936  0.610  0.809
Te  0.610  0.936  0.809
Cs  0.169  0.831  0.500
Te  0.064  0.390  0.191
Sm  0.666  0.334  0.000
Cs  0.500  0.500  0.500
Te  0.390  0.064  0.191
Te  0.263  0.263  0.808
Sm  0.334  0.666  0.000
Er  0.000  0.000  0.000

Record 2
# TlSeN2

An optimized crystal structure of TlSeN2 (GGA-PBE, the Alexandria database).

Output
Raw formation energy in eV per formula unit: 4.95
Energy relative to the lowest polymorph listed for this composition in eV per atom: 0.045
Crystal system: tetragonal

a b c (Å): 4.875 4.875 6.698
angles (deg): 68.66 68.66 90.00
Positions (direct):
N  0.875  0.828  0.750
Tl  0.000  0.000  0.000
N  0.172  0.625  0.250
Se  0.500  0.500  0.000
N  0.578  0.125  0.250
Se  0.250  0.750  0.500
Tl  0.750  0.250  0.500
N  0.375  0.422  0.750

Record 3
# P2PtSe2

An optimized crystal structure of P2PtSe2 (GGA-PBE, the Alexandria database).

Output
Raw formation energy in eV per formula unit: 1.76
Energy relative to the lowest polymorph listed for this composition in eV per atom: 0.354
Crystal system: tetragonal

a b c (Å): 5.131 5.131 5.146
angles (deg): 60.09 60.09 90.00
Positions (direct):
Se  0.750  0.250  0.500
P  0.320  0.320  0.360
P  0.680  0.680  0.640
Pt  0.000  0.000  0.000
Se  0.250  0.750  0.500

Record 4
# ZnSb2O5

An optimized crystal structure of ZnSb2O5 (GGA-PBE, the Alexandria database).

Output
Raw formation energy in eV per formula unit: -9.24
Energy relative to the lowest polymorph listed for this composition in eV per atom: 0.000
Crystal system: triclinic

a b c (Å): 3.891 5.523 13.583
angles (deg): 93.24 97.98 110.18
Positions (direct):
O  0.619  0.155  0.347
Zn  0.217  0.977  0.731
O  0.379  0.616  0.414
O  0.383  0.363  0.746
O  0.833  0.684  0.248
Sb  0.145  0.470  0.877
Sb  0.653  0.449  0.113
Zn  0.429  0.893  0.233
O  0.477  0.089  0.117
O  0.638  0.533  0.975
Sb  0.816  0.515  0.386
O  0.886  0.476  0.568
O  0.646  0.885  0.671
O  0.208  0.550  0.126
Sb  0.429  0.522  0.615
O  0.256  0.820  0.851